Rb3CaTl3Br8, optimized geometry, DFT PBE; space-group type = R-3m, No. 166; spin magnetization = 0.00 μB per formula unit; raw formation energy = -1461 meV per atom; crystal system = trigonal
1.0
-0.607 -9.413 -1.585
8.329 3.870 2.687
-7.286 -0.609 6.405
Br Tl Rb Ca
8 3 3 1
Cartesian
-1.742 -5.574 4.907
-2.197 -2.237 1.511
2.633 -3.915 5.995
2.150 -5.357 2.129
-2.539 -7.536 0.619
-1.714 -0.795 5.377
2.975 1.384 6.888
2.178 -0.578 2.600
0.218 -3.076 3.753
-3.946 -5.011 2.410
0.522 1.631 4.546
3.861 -2.772 0.551
4.164 1.935 1.344
0.000 0.000 0.000
-3.643 -0.304 3.202